! In5BiPb GGA-PBE optimized geometry; values from VASP
! **Formation energy**: 0.052 eV per atom
! **Density**: 7.8 g/cm³
&SYSTEM
  ibrav = 0, nat = 7, ntyp = 3
/
ATOMIC_SPECIES
In 114.82 In.upf
Pb 207.20 Pb.upf
Bi 208.98 Bi.upf
CELL_PARAMETERS angstrom
-3.188 -2.251 -2.432
-0.475 -3.029 3.427
-7.140 5.720 4.065
ATOMIC_POSITIONS angstrom
In -3.505 0.405 -0.128
Pb 0.000 0.000 0.000
In -6.823 3.064 1.762
In -2.148 0.016 2.802
In -1.832 -2.640 0.498
In -5.467 2.675 4.691
Bi -3.570 2.860 2.033


! Dy5TmCd3 GGA-PBE optimized geometry; values from VASP
! **Formation energy**: -0.191 eV per atom
! **Density**: 8.7 g/cm³
&SYSTEM
  ibrav = 0, nat = 18, ntyp = 3
/
ATOMIC_SPECIES
Dy 162.50 Dy.upf
Cd 112.41 Cd.upf
Tm 168.93 Tm.upf
CELL_PARAMETERS angstrom
-4.518 -5.135 0.888
6.791 -6.101 -0.728
-2.246 3.394 8.204
ATOMIC_POSITIONS angstrom
Dy -1.132 -5.879 0.424
Cd -1.878 -0.152 2.957
Cd 1.139 -7.919 0.180
Dy -4.135 -2.723 3.392
Dy -1.493 -2.338 5.670
Cd -1.873 -4.754 3.158
Cd 1.134 -3.318 -0.021
Dy 0.381 -2.183 2.706
Tm -2.259 -2.568 0.444
Tm 0.000 0.000 0.000
Cd 1.905 -7.690 5.407
Dy -0.354 -5.659 5.657
Dy 1.520 -5.504 2.693
Dy -2.629 0.983 5.700
Dy 3.405 -5.358 -0.265
Dy 0.766 0.229 5.227
Cd 1.901 -3.089 5.206
Dy 3.779 -2.936 2.249


! SrSi2As GGA-PBE optimized geometry; values from VASP
! **Formation energy without anion corrections**: -6.79 kJ/mol of atoms
! **Density**: 4.2 g/cm³
&SYSTEM
  ibrav = 0, nat = 4, ntyp = 3
/
ATOMIC_SPECIES
Si 28.09 Si.upf
Sr 87.62 Sr.upf
As 74.92 As.upf
CELL_PARAMETERS angstrom
-2.195 -0.213 2.996
0.066 -3.713 -0.216
5.092 -0.126 3.722
ATOMIC_POSITIONS angstrom
Si -0.140 -1.986 2.066
Si 0.042 -0.001 0.031
Sr 2.544 -0.063 1.859
As 3.063 -2.065 4.407


! LaNdSmTm2 GGA-PBE optimized geometry; values from VASP
! **Formation energy**: 0.339 eV per atom
! **Density**: 7.2 g/cm³
&SYSTEM
  ibrav = 0, nat = 10, ntyp = 4
/
ATOMIC_SPECIES
Tm 168.93 Tm.upf
Sm 150.36 Sm.upf
La 138.91 La.upf
Nd 144.24 Nd.upf
CELL_PARAMETERS angstrom
-6.521 3.095 0.225
-0.448 -1.548 8.308
2.695 5.901 -3.065
ATOMIC_POSITIONS angstrom
Tm -3.401 1.062 2.716
Tm -3.568 0.484 5.817
Tm -0.140 -0.485 2.604
Sm -0.243 3.652 0.667
La -3.574 5.053 0.749
Nd -2.649 6.664 5.409
La -0.700 2.394 4.719
Nd -1.625 0.784 0.058
Sm -4.031 3.796 4.800
Tm -0.308 -1.063 5.704


! NaMgCdHg2 GGA-PBE optimized geometry; values from VASP
! **Formation energy**: -0.123 eV per atom
! **Density**: 7.3 g/cm³
&SYSTEM
  ibrav = 0, nat = 10, ntyp = 4
/
ATOMIC_SPECIES
Mg 24.30 Mg.upf
Hg 200.59 Hg.upf
Na 22.99 Na.upf
Cd 112.41 Cd.upf
CELL_PARAMETERS angstrom
6.793 0.000 0.000
0.000 5.479 0.000
0.000 0.000 6.821
ATOMIC_POSITIONS angstrom
Mg 4.216 4.110 0.000
Hg 2.170 4.110 1.947
Hg 2.170 4.110 4.874
Mg 2.576 1.370 0.000
Na 5.564 4.110 3.410
Hg 4.622 1.370 1.947
Na 1.229 1.370 3.410
Cd 0.000 2.740 0.000
Cd 0.000 0.000 0.000
Hg 4.622 1.370 4.874


! PuSb2Pb GGA-PBE optimized geometry; values from VASP
! **Formation energy without anion corrections**: -29.44 kJ/mol of atoms
! **Polymorph energy (0 for the lowest one)**: 0 meV/atom
! **Density**: 10.5 g/cm³
&SYSTEM
  ibrav = 0, nat = 4, ntyp = 3
/
ATOMIC_SPECIES
Pu 244.00 Pu.upf
Sb 121.76 Sb.upf
Pb 207.20 Pb.upf
CELL_PARAMETERS angstrom
-1.478 -3.986 -1.197
4.601 -1.849 0.474
-0.929 -1.088 4.771
ATOMIC_POSITIONS angstrom
Pu 1.097 -3.462 2.024
Sb -0.465 -0.544 2.386
Sb 2.300 -0.924 0.237
Pb -0.739 -1.993 -0.599